Entry from Alexandria: a relaxed LiAcMo2O8 crystal (GGA+U).

Structure (CIF):
```
data_LiAcMo2O8
_chemical_formula_sum 'Li1 Ac1 Mo2 O8'
_symmetry_space_group_name_H-M 'P -3 m 1'
_symmetry_Int_Tables_number 164
_symmetry_space_group_name_Hall '-P 3 2"'
_cell_length_a 5.8752
_cell_length_b 5.8752
_cell_length_c 6.7583
_cell_angle_alpha 90.00
_cell_angle_beta 90.00
_cell_angle_gamma 120.00
loop_
_atom_site_label
_atom_site_fract_x
_atom_site_fract_y
_atom_site_fract_z
Li1 0.0000 0.0000 0.0000
Ac1 0.0000 0.0000 0.5000
Mo1 0.3333 0.6667 0.7235
O1 0.1620 0.3241 0.7929
O2 0.3333 0.6667 0.4609
```

## Properties
Total DFT energy (no corrections) ... -0.522 Ry per atom
Crystal system ... trigonal
M_tot ... 0.0 μB/cell